No. 1
The following is a PBE-GGA calculation of a relaxed Cd10In6Hg crystal, from Alexandria via LeMat-Bulk.

The structure in CIF format:
```
data_Cd10In6Hg
_chemical_formula_sum 'Cd10 In6 Hg1'
_space_group_name_H-M_alt 'P -3 1 m'
_space_group_IT_number 162
_space_group_name_Hall '-P 3 2'
_cell_length_a 9.1969
_cell_length_b 9.1969
_cell_length_c 5.9897
_cell_angle_alpha 90.00
_cell_angle_beta 90.00
_cell_angle_gamma 120.00
loop_
_atom_site_label
_atom_site_type_symbol
_atom_site_fract_x
_atom_site_fract_y
_atom_site_fract_z
Cd1 Cd 0.0000 0.2600 0.3013
Cd2 Cd 0.3333 0.6667 0.0000
Cd3 Cd 0.3333 0.6667 0.5000
In1 In 0.0000 0.3913 0.7752
Hg1 Hg 0.0000 0.0000 0.0000
```

## Properties
ΔH_f (0 K) ... 1.2 eV/f.u.
VASP energy ... -24.7 eV per cell

No. 2
The following is a PBE-GGA calculation of a relaxed K2HgRu crystal, from Alexandria via LeMat-Bulk.

The structure in CIF format:
```
data_K2HgRu
_chemical_formula_sum 'K4 Hg2 Ru2'
_space_group_name_H-M_alt 'C 1 m 1'
_space_group_IT_number 8
_cell_length_a 12.883
_cell_length_b 3.077
_cell_length_c 6.228
_cell_angle_alpha 90.00
_cell_angle_beta 107.12
_cell_angle_gamma 90.00
loop_
_space_group_symop_operation_xyz
'x,y,z'
'x,-y,z'
'x+1/2,y+1/2,z'
'x+1/2,-y+1/2,z'
loop_
_atom_site_label
_atom_site_type_symbol
_atom_site_fract_x
_atom_site_fract_y
_atom_site_fract_z
K1 K 0.000 0.000 0.000
K2 K 0.196 0.000 0.621
Hg1 Hg 0.270 0.500 0.174
Ru1 Ru 0.433 0.000 0.463
```

## Properties
ΔH_f (0 K) ... 2.6 eV/f.u.
VASP energy ... -18.3 eV per cell

No. 3
The following is a PBE-GGA calculation of a relaxed Ba2GeBCl crystal, from Alexandria via LeMat-Bulk.

The structure in CIF format:
```
data_Ba2GeBCl
_chemical_formula_sum 'Ba2 Ge1 B1 Cl1'
_space_group_name_H-M_alt 'P 4/m m m'
_space_group_IT_number 123
_space_group_name_Hall '-P 4 2'
_cell_length_a 6.006
_cell_length_b 6.006
_cell_length_c 3.993
_cell_angle_alpha 90.00
_cell_angle_beta 90.00
_cell_angle_gamma 90.00
loop_
_atom_site_label
_atom_site_type_symbol
_atom_site_fract_x
_atom_site_fract_y
_atom_site_fract_z
Ba1 Ba 0.000 0.500 0.000
Ge1 Ge 0.000 0.000 0.500
B1 B 0.000 0.000 0.000
Cl1 Cl 0.500 0.500 0.500
```

## Properties
Formation energy (no corrections) ... -3.03 eV/f.u.
VASP energy ... -20.0 eV per cell